Here is a relaxed structure of Tm3Ir2Pd from the Alexandria database. Energies are from PBE.

Geometry as extended XYZ:
```
6
Lattice="-0.344 -2.838 1.641 4.832 -0.150 0.754 -3.278 3.800 5.886" Properties=species:S:1:pos:R:3 pbc="T T T"
Ir 2.132 1.153 2.442
Tm -0.465 -0.151 2.952
Ir -0.578 2.497 4.198
Tm 1.676 0.963 5.329
Pd 0.000 0.000 0.000
Tm 2.244 -1.494 1.197
```

E_tot = -7.001 eV per atom
ΔH_f (0 K) = -946 meV/atom
DOS at the Fermi energy = 2.67 states/eV/f.u.